Record 1
A plane-wave DFT calculation with PBE was carried out for crystalline Zn3BIr at its relaxed geometry.

Computed properties:
For the relative energy among the computed polymorphs, the calculation gives 0.0000 eV/atom. Its formation energy is 0.5439 eV per atom. Its symmetry is Pm-3m (221).

a b c (Å): 4.076 4.076 4.076
angles (deg): 90.00 90.00 90.00
Element x y z (fractional)
Zn  0.000  0.000  0.500
Zn  0.000  0.500  0.000
Zn  0.500  0.000  0.000
B  0.000  0.000  0.000
Ir  0.500  0.500  0.500



Record 2
A plane-wave DFT calculation with PBE was carried out for crystalline PrTeI2 at its relaxed geometry.

Computed properties:
The uncorrected formation energy comes out at -1.04 eV per atom. Its symmetry is Cmcm (63).

a b c (Å): 7.984 7.984 9.823
angles (deg): 90.00 90.00 148.41
Element x y z (fractional)
Pr  0.246  0.754  0.750
Pr  0.754  0.246  0.250
Te  0.403  0.597  0.250
Te  0.597  0.403  0.750
I  0.146  0.854  0.057
I  0.146  0.854  0.443
I  0.854  0.146  0.557
I  0.854  0.146  0.943



Record 3
A plane-wave DFT calculation with PBE was carried out for crystalline PaSbPb at its relaxed geometry.

Computed properties:
For the relative energy among the computed polymorphs, the calculation gives 0.0026 eV/atom. The uncorrected formation energy comes out at -0.28 eV per atom. Its symmetry is I4/mmm (139).

a b c (Å): 9.288 9.288 9.288
angles (deg): 152.61 152.61 39.13
Element x y z (fractional)
Pa  0.143  0.143  0.000
Pa  0.857  0.857  0.000
Sb  0.322  0.322  0.000
Sb  0.678  0.678  0.000
Pb  0.000  0.500  0.500
Pb  0.500  0.000  0.500



Record 4
A plane-wave DFT calculation with PBE was carried out for crystalline SrCu3H6 at its relaxed geometry.

Computed properties:
The total energy comes out at -3.416 eV/atom. Its symmetry is R3 (146).

a b c (Å): 6.053 6.053 6.053
angles (deg): 44.78 44.78 44.78
Element x y z (fractional)
Sr  0.000  0.000  0.000
Cu  0.204  0.204  0.204
Cu  0.471  0.471  0.471
Cu  0.794  0.794  0.794
H  0.075  0.585  0.546
H  0.215  0.557  0.856
H  0.546  0.075  0.585
H  0.557  0.856  0.215
H  0.585  0.546  0.075
H  0.856  0.215  0.557



Record 5
A plane-wave DFT calculation with PBE was carried out for crystalline PmY2Pb2 at its relaxed geometry.

Computed properties:
Its formation energy is -0.4653 eV per atom. Its symmetry is Cmc2_1 (36).

a b c (Å): 9.819 9.819 6.634
angles (deg): 90.00 90.00 150.92
Element x y z (fractional)
Pm  0.109  0.891  0.500
Pm  0.891  0.109  0.000
Y  0.315  0.685  0.527
Y  0.495  0.505  0.256
Y  0.505  0.495  0.756
Y  0.685  0.315  0.027
Pb  0.073  0.927  0.007
Pb  0.295  0.705  0.037
Pb  0.705  0.295  0.537
Pb  0.927  0.073  0.507



Record 6
A plane-wave DFT calculation with PBE was carried out for crystalline Pm5Y4Tm at its relaxed geometry.

Computed properties:
For the relative energy among the computed polymorphs, the calculation gives 0.0872 eV/atom. Its formation energy is 0.2473 eV per atom. Its symmetry is I4mm (107).

a b c (Å): 8.083 8.083 8.083
angles (deg): 98.05 98.05 136.05
Element x y z (fractional)
Pm  0.000  0.000  0.000
Pm  0.543  0.543  0.624
Pm  0.543  0.919  0.000
Pm  0.919  0.543  0.000
Pm  0.919  0.919  0.376
Y  0.242  0.565  0.323
Y  0.242  0.919  0.677
Y  0.565  0.242  0.323
Y  0.919  0.242  0.677
Tm  0.467  0.467  0.000



- Which formula does entry 1 have?
  Zn3BIr



- Which formula does entry 2 have?
  PrTeI2